A.
# Cr2InTe4 PBE optimized geometry
# crystal system	orthorhombic
# D(E_F)	5.706	states/eV/cell
data_Cr2InTe4
_space_group_name_H-M_alt 'P 1'
_space_group_IT_number 1
_cell_length_a 3.966
_cell_length_b 6.948
_cell_length_c 13.924
_cell_angle_alpha 90.00
_cell_angle_beta 90.00
_cell_angle_gamma 106.58
loop_
_space_group_symop_operation_xyz
'x,y,z'
loop_
_atom_site_label
_atom_site_fract_x
_atom_site_fract_y
_atom_site_fract_z
_atom_site_occupancy
Cr1 0.134 0.268 0.435 1
Cr2 0.866 0.732 0.935 1
Cr3 0.134 0.268 0.065 1
Cr4 0.866 0.732 0.565 1
In1 0.603 0.206 0.750 1
In2 0.397 0.794 0.250 1
Te1 0.769 0.539 0.107 1
Te2 0.769 0.539 0.393 1
Te3 0.231 0.461 0.893 1
Te4 0.231 0.461 0.607 1
Te5 0.936 0.872 0.750 1
Te6 0.064 0.128 0.250 1
Te7 0.500 0.000 0.000 1
Te8 0.500 0.000 0.500 1

B.
# Cr2InTe4 PBE optimized geometry
# crystal system	tetragonal
# D(E_F)	4.081	states/eV/cell
data_Cr2InTe4
_space_group_name_H-M_alt 'P 1'
_space_group_IT_number 1
_cell_length_a 8.377
_cell_length_b 8.376
_cell_length_c 8.373
_cell_angle_alpha 120.00
_cell_angle_beta 120.00
_cell_angle_gamma 90.02
loop_
_space_group_symop_operation_xyz
'x,y,z'
loop_
_atom_site_label
_atom_site_fract_x
_atom_site_fract_y
_atom_site_fract_z
_atom_site_occupancy
Cr1 0.625 0.375 0.750 1
Cr2 0.625 0.875 0.250 1
Cr3 0.625 0.375 0.250 1
Cr4 0.125 0.375 0.750 1
Te1 0.858 0.142 0.283 1
Te2 0.392 0.608 0.217 1
Te3 0.859 0.575 0.717 1
Te4 0.858 0.142 0.717 1
Te5 0.425 0.142 0.283 1
Te6 0.391 0.175 0.783 1
Te7 0.392 0.608 0.783 1
Te8 0.825 0.608 0.217 1
In1 0.250 0.750 0.500 1
In2 0.000 0.000 0.000 1

Pick the most stable structure from those above. Pick: B